An optimized crystal structure of B2C, computed with PBE.

Lattice parameters (Å, degrees): 6.0187 5.6038 5.5253 93.20 107.19 123.59
Fractional positions:
B: 0.3098 0.7735 0.3986
B: 0.0095 0.7042 0.1692
B: 0.5492 0.2094 0.1974
B: 0.3317 0.2693 0.9561
B: 0.1985 0.3865 0.7126
B: 0.8416 0.1178 0.6072
B: 0.5519 0.5635 0.8578
B: 0.0387 0.9413 0.9854
C: 0.5762 0.0490 0.3885
C: 0.6740 0.4522 0.0719
C: 0.4113 0.6580 0.6336
C: 0.7577 0.8752 0.7718

* calculated formation energy: 0.6425 eV/atom
* magnetic moment: 0.0 μB per cell
* polymorph energy (0 for the lowest one): 1.37 eV per formula unit